The following is a PBE calculation of a relaxed Pu2Pa3Ga2 crystal, from Alexandria via LeMat-Bulk.

Output
- mass density (g/cm3) = 13.9
- ΔE to the lowest computed polymorph (meV/atom) = 311.6
- calculated formation energy (eV per atom) = 0.2655

a = 7.631 Å, b = 7.631 Å, c = 5.626 Å
α = 94.54°, β = 94.54°, γ = 28.79°
Atoms (fractional coordinates):
Pu (0.169, 0.169, 0.135)
Pu (0.831, 0.831, 0.865)
Pa (0.000, 0.000, 0.000)
Pa (0.225, 0.225, 0.717)
Pa (0.775, 0.775, 0.283)
Ga (0.421, 0.421, 0.558)
Ga (0.579, 0.579, 0.442)

=====

The following is a PBE calculation of a relaxed Zn3SbOs crystal, from Alexandria via LeMat-Bulk.

Output
- mass density (g/cm3) = 7.6
- ΔE to the lowest computed polymorph (meV/atom) = 0.0
- formation energy from raw total energies (eV/f.u.) = 3.66

a = 4.815 Å, b = 4.815 Å, c = 4.815 Å
α = 90.00°, β = 90.00°, γ = 90.00°
Atoms (fractional coordinates):
Zn (0.000, 0.000, 0.500)
Zn (0.000, 0.500, 0.000)
Zn (0.500, 0.000, 0.000)
Sb (0.500, 0.500, 0.500)
Os (0.000, 0.000, 0.000)

=====

The following is a PBE calculation of a relaxed RbSrTa crystal, from Alexandria via LeMat-Bulk.

Output
- mass density (g/cm3) = 4.8
- ΔE to the lowest computed polymorph (meV/atom) = 1153.8
- calculated formation energy (eV per atom) = 1.6132

a = 6.234 Å, b = 6.234 Å, c = 7.229 Å
α = 90.00°, β = 90.00°, γ = 120.00°
Atoms (fractional coordinates):
Rb (0.000, 0.000, 0.000)
Rb (0.000, 0.000, 0.500)
Sr (0.333, 0.667, 0.250)
Sr (0.667, 0.333, 0.750)
Ta (0.333, 0.667, 0.750)
Ta (0.667, 0.333, 0.250)